# Re2SiRu GGA-PBEsol relaxed
# Formation energy without anion corrections in eV per atom: 0.032
# Magnetic moment in μB/cell: 0.00
data_Re2SiRu
_chemical_formula_sum 'Re4 Si2 Ru2'
_symmetry_space_group_name_H-M 'I -4 m 2'
_symmetry_Int_Tables_number 119
_symmetry_space_group_name_Hall 'I -4 -2'
_cell_length_a 3.8191
_cell_length_b 3.8191
_cell_length_c 7.5214
_cell_angle_alpha 90.00
_cell_angle_beta 90.00
_cell_angle_gamma 90.00
loop_
_atom_site_label
_atom_site_fract_x
_atom_site_fract_y
_atom_site_fract_z
Re1 0.0000 0.0000 0.0000
Re2 0.0000 0.5000 0.2500
Si1 0.0000 0.5000 0.7500
Ru1 0.0000 0.0000 0.5000


# ReSiRu2 GGA-PBEsol relaxed
# Formation energy without anion corrections in eV per atom: -0.359
# Magnetic moment in μB/cell: 0.00
data_ReSiRu2
_chemical_formula_sum 'Re1 Si1 Ru2'
_symmetry_space_group_name_H-M 'P 4/m m m'
_symmetry_Int_Tables_number 123
_symmetry_space_group_name_Hall '-P 4 2'
_cell_length_a 2.8075
_cell_length_b 2.8075
_cell_length_c 6.6232
_cell_angle_alpha 90.00
_cell_angle_beta 90.00
_cell_angle_gamma 90.00
loop_
_atom_site_label
_atom_site_fract_x
_atom_site_fract_y
_atom_site_fract_z
Re1 0.0000 0.0000 0.0000
Si1 0.0000 0.0000 0.5000
Ru1 0.5000 0.5000 0.2781


# ReSiRu2 GGA-PBEsol relaxed
# Formation energy without anion corrections in eV per atom: -0.225
# Magnetic moment in μB/cell: 0.00
data_ReSiRu2
_chemical_formula_sum 'Re2 Si2 Ru4'
_symmetry_space_group_name_H-M 'I m m 2'
_symmetry_Int_Tables_number 44
_cell_length_a 2.8489
_cell_length_b 4.3110
_cell_length_c 8.6515
_cell_angle_alpha 90.00
_cell_angle_beta 90.00
_cell_angle_gamma 90.00
loop_
_symmetry_equiv_pos_as_xyz
'x,y,z'
'-x,-y,z'
'-x,y,z'
'x,-y,z'
'x+1/2,y+1/2,z+1/2'
'-x+1/2,-y+1/2,z+1/2'
'-x+1/2,y+1/2,z+1/2'
'x+1/2,-y+1/2,z+1/2'
loop_
_atom_site_label
_atom_site_fract_x
_atom_site_fract_y
_atom_site_fract_z
Re1 0.0000 0.0000 0.0000
Si1 0.0000 0.5000 0.2687
Ru1 0.0000 0.0000 0.5522
Ru2 0.0000 0.5000 0.7702


# SrReRu GGA-PBEsol relaxed
# Energy above the most stable polymorph in this dataset in eV per formula unit: 4.26
# Magnetic moment in μB/cell: 8.82
data_SrReRu
_chemical_formula_sum 'Sr4 Re4 Ru4'
_symmetry_space_group_name_H-M 'F -4 3 m'
_symmetry_Int_Tables_number 216
_symmetry_space_group_name_Hall 'F -4 2 3'
_cell_length_a 6.3590
_cell_length_b 6.3590
_cell_length_c 6.3590
_cell_angle_alpha 90.00
_cell_angle_beta 90.00
_cell_angle_gamma 90.00
loop_
_atom_site_label
_atom_site_fract_x
_atom_site_fract_y
_atom_site_fract_z
Sr1 0.0000 0.0000 0.0000
Re1 0.2500 0.2500 0.7500
Ru1 0.2500 0.2500 0.2500


# SrReRu GGA-PBEsol relaxed
# Energy above the most stable polymorph in this dataset in eV per formula unit: 0.00
# Magnetic moment in μB/cell: 0.00
data_SrReRu
_chemical_formula_sum 'Sr4 Re4 Ru4'
_symmetry_space_group_name_H-M 'F -4 3 m'
_symmetry_Int_Tables_number 216
_symmetry_space_group_name_Hall 'F -4 2 3'
_cell_length_a 6.3064
_cell_length_b 6.3064
_cell_length_c 6.3064
_cell_angle_alpha 90.00
_cell_angle_beta 90.00
_cell_angle_gamma 90.00
loop_
_atom_site_label
_atom_site_fract_x
_atom_site_fract_y
_atom_site_fract_z
Sr1 0.0000 0.0000 0.0000
Re1 0.0000 0.0000 0.5000
Ru1 0.2500 0.2500 0.7500


# TaRe2Ru GGA-PBEsol relaxed
# Electronic total energy in eV/cell: -49.25
# Magnetic moment in μB/cell: 0.00
data_TaRe2Ru
_chemical_formula_sum 'Ta1 Re2 Ru1'
_symmetry_space_group_name_H-M 'P 1 m 1'
_symmetry_Int_Tables_number 6
_cell_length_a 2.7281
_cell_length_b 4.2645
_cell_length_c 5.3170
_cell_angle_alpha 90.00
_cell_angle_beta 103.30
_cell_angle_gamma 90.00
loop_
_symmetry_equiv_pos_as_xyz
'x,y,z'
'x,-y,z'
loop_
_atom_site_label
_atom_site_fract_x
_atom_site_fract_y
_atom_site_fract_z
Ta1 0.0000 0.0000 0.0000
Re1 0.5206 0.0000 0.4955
Re2 0.8194 0.5000 0.2653
Ru1 0.1715 0.5000 0.7659


# Re2TcRu GGA-PBEsol relaxed
# Energy above the most stable polymorph in this dataset in eV per formula unit: 0.00
# Magnetic moment in μB/cell: 0.00
data_Re2TcRu
_chemical_formula_sum 'Re2 Tc1 Ru1'
_symmetry_space_group_name_H-M 'P 4/m m m'
_symmetry_Int_Tables_number 123
_symmetry_space_group_name_Hall '-P 4 2'
_cell_length_a 3.8411
_cell_length_b 3.8411
_cell_length_c 3.8339
_cell_angle_alpha 90.00
_cell_angle_beta 90.00
_cell_angle_gamma 90.00
loop_
_atom_site_label
_atom_site_fract_x
_atom_site_fract_y
_atom_site_fract_z
Re1 0.0000 0.5000 0.0000
Tc1 0.0000 0.0000 0.5000
Ru1 0.5000 0.5000 0.5000


# ReTcRu2 GGA-PBEsol relaxed
# Electronic total energy in eV/cell: -45.28
# Magnetic moment in μB/cell: 0.00
data_ReTcRu2
_chemical_formula_sum 'Re1 Tc1 Ru2'
_symmetry_space_group_name_H-M 'P m m 2'
_symmetry_Int_Tables_number 25
_cell_length_a 2.7184
_cell_length_b 4.3056
_cell_length_c 4.6944
_cell_angle_alpha 90.00
_cell_angle_beta 90.00
_cell_angle_gamma 90.00
loop_
_symmetry_equiv_pos_as_xyz
'x,y,z'
'-x,-y,z'
'-x,y,z'
'x,-y,z'
loop_
_atom_site_label
_atom_site_fract_x
_atom_site_fract_y
_atom_site_fract_z
Re1 0.0000 0.0000 0.0000
Tc1 0.0000 0.5000 0.3350
Ru1 0.5000 0.0000 0.4944
Ru2 0.5000 0.5000 0.8363